20
Lattice="5.1948 -4.6622 0.0000 5.1948 4.6622 0.0000 -1.1656 0.0000 5.3104" Properties=species:S:1:pos:R:3 comment="PaZn2NiO6 GGA+U optimized geometry" dft_energy_ev_per_cell=-127.578 m_tot_mub_per_cell=2.1 pbc="T T T"
Pa 4.3206 2.5498 3.9828
Pa 4.9034 -2.5498 1.3276
Zn 1.1394 0.8837 4.3807
Zn 1.7222 -0.8837 1.7255
Zn 7.5018 0.8837 3.5848
Zn 8.0846 -0.8837 0.9297
Ni 4.9034 0.8023 1.3276
Ni 4.3206 -0.8023 3.9828
O 1.2422 0.7398 0.7090
O 3.6035 2.2808 1.9995
O 0.6594 -0.7398 3.3642
O 3.0815 0.7747 4.7371
O 6.2032 2.2808 0.6557
O 3.6643 -0.7747 2.0819
O 5.5597 0.7747 3.2284
O 3.0207 -2.2808 4.6546
O 6.1425 -0.7747 0.5733
O 8.5645 0.7398 1.9462
O 5.6204 -2.2808 3.3109
O 7.9817 -0.7398 4.6014